Entry 1:
A plane-wave DFT calculation with GGA-PBE was carried out for crystalline Tb2Al4Ni3Au at its relaxed geometry.

Cell lengths 4.062, 4.062, 10.518 Å; angles 90.00, 90.00, 90.00 degrees
Space group P-4m2 (No. 115)
Symmetry-distinct sites (fractional):
1 Tb 0.000 0.500 0.237 x2
2 Al 0.000 0.000 0.000 x1
3 Al 0.000 0.500 0.641 x2
4 Al 0.500 0.500 0.000 x1
5 Ni 0.000 0.500 0.868 x2
6 Ni 0.500 0.500 0.500 x1
7 Au 0.000 0.000 0.500 x1

Uncorrected energy   -5.092 eV/atom
Formation energy   -0.607 eV/atom



Entry 2:
A plane-wave DFT calculation with GGA-PBE was carried out for crystalline K2RhCl at its relaxed geometry.

Cell lengths 11.673, 11.673, 4.566 Å; angles 90.00, 90.00, 90.00 degrees
Space group I-42d (No. 122)
Symmetry-distinct sites (fractional):
1 K 0.053 0.250 0.125 x8
2 Rh 0.000 0.000 0.500 x4
3 Cl 0.000 0.000 0.000 x4

Uncorrected energy   -3.096 eV/atom
Formation energy without anion corrections   -0.25 eV per atom
Excess energy over the best structure of this formula in the dataset   80 meV/atom



Entry 3:
A plane-wave DFT calculation with GGA-PBE was carried out for crystalline ZnTe2SI at its relaxed geometry.

Cell lengths 5.353, 5.353, 5.251 Å; angles 90.00, 90.00, 90.00 degrees
Space group P4/mmm (No. 123)
Symmetry-distinct sites (fractional):
1 Zn 0.000 0.000 0.000 x1
2 Te 0.000 0.500 0.000 x2
3 S 0.500 0.500 0.500 x1
4 I 0.000 0.000 0.500 x1

Uncorrected energy   -1.968 eV/atom
Formation energy without anion corrections   0.68 eV per atom
Excess energy over the best structure of this formula in the dataset   148 meV/atom



Entry 4:
A plane-wave DFT calculation with GGA-PBE was carried out for crystalline Nd2Ho6Th at its relaxed geometry.

Cell lengths 3.5754, 3.5754, 26.4461 Å; angles 90.00, 90.00, 120.00 degrees
Space group P-6m2 (No. 187)
Symmetry-distinct sites (fractional):
1 Nd 0.0000 0.0000 0.1711 x2
2 Ho 0.0000 0.0000 0.3907 x2
3 Ho 0.6667 0.3333 0.0629 x2
4 Ho 0.6667 0.3333 0.2848 x2
5 Th 0.6667 0.3333 0.5000 x1

Uncorrected energy   -4.864 eV/atom
Formation energy   0.072 eV/atom
Excess energy over the best structure of this formula in the dataset   8 meV/atom



Entry 5:
A plane-wave DFT calculation with GGA-PBE was carried out for crystalline Mg14ZnSb at its relaxed geometry.

Cell lengths 6.3707, 6.3707, 10.1787 Å; angles 90.00, 90.00, 120.00 degrees
Space group P-6m2 (No. 187)
Symmetry-distinct sites (fractional):
1 Mg 0.0000 0.0000 0.2469 x2
2 Mg 0.0001 0.5000 0.2545 x6
3 Mg 0.3314 0.1657 0.5000 x3
4 Mg 0.3344 0.1672 0.0000 x3
5 Zn 0.3333 0.6667 0.5000 x1
6 Sb 0.3333 0.6667 0.0000 x1

Uncorrected energy   -1.766 eV/atom
Formation energy without anion corrections   -0.03 eV per atom
Excess energy over the best structure of this formula in the dataset   0 meV/atom



Entry 6:
A plane-wave DFT calculation with GGA-PBE was carried out for crystalline Pa2TaPtN5 at its relaxed geometry.

Cell lengths 3.244, 13.420, 10.304 Å; angles 90.00, 90.00, 90.00 degrees
Space group Cmc2_1 (No. 36)
Symmetry-distinct sites (fractional):
1 Pa 0.000 0.118 0.000 x4
2 Pa 0.000 0.135 0.618 x4
3 Ta 0.000 0.190 0.316 x4
4 Pt 0.000 0.483 0.791 x4
5 N 0.000 0.049 0.409 x4
6 N 0.000 0.289 0.963 x4
7 N 0.000 0.301 0.659 x4
8 N 0.000 0.345 0.315 x4
9 N 0.000 0.494 0.092 x4

Uncorrected energy   -9.678 eV/atom
Formation energy without anion corrections   -0.95 eV per atom



Entry 7:
A plane-wave DFT calculation with GGA-PBE was carried out for crystalline NaBSbN2 at its relaxed geometry.

Cell lengths 3.669, 3.669, 4.652 Å; angles 90.00, 90.00, 90.00 degrees
Space group P4/mmm (No. 123)
Symmetry-distinct sites (fractional):
1 Na 0.000 0.000 0.000 x1
2 B 0.000 0.000 0.500 x1
3 Sb 0.500 0.500 0.000 x1
4 N 0.000 0.500 0.500 x2

Uncorrected energy   -4.064 eV/atom
Formation energy without anion corrections   1.69 eV per atom



Entry 8:
A plane-wave DFT calculation with GGA-PBE was carried out for crystalline Sm5Ho2TmSc at its relaxed geometry.

Cell lengths 5.314, 21.729, 10.129 Å; angles 90.00, 90.00, 90.00 degrees
Space group Cmcm (No. 63)
Symmetry-distinct sites (fractional):
1 Sm 0.000 0.000 0.000 x4
2 Sm 0.000 0.126 0.250 x4
3 Sm 0.000 0.221 0.562 x8
4 Sm 0.000 0.499 0.750 x4
5 Ho 0.000 0.384 0.001 x8
6 Tm 0.000 0.101 0.750 x4
7 Sc 0.000 0.286 0.250 x4

Uncorrected energy   -4.710 eV/atom
Formation energy   0.130 eV/atom